1.
# SmTm6Sc4

A relaxed SmTm6Sc4 crystal (GGA-PBE, the Alexandria database).

POSCAR file:
```
SmTm6Sc4
1.0
-3.262 -0.806 -5.333
2.048 -5.951 -0.353
-5.924 0.871 7.217
Sm Tm Sc
1 6 4
Cartesian
-0.607 -3.379 -2.843
-3.916 -3.299 -2.232
-1.919 -5.233 -0.359
-4.448 -2.891 1.757
1.024 -2.975 -0.177
-3.992 -0.350 3.895
-1.631 -0.403 -2.666
-3.128 -3.531 4.864
-2.681 -6.215 -3.562
-6.572 -0.194 1.633
-1.894 -1.832 0.127
```

Output
E_form = 32 kJ per mole of atoms
Symmetry = I-42m
DOS at the Fermi energy = 16.2 states/eV/cell



2.
# Cs2HfBeS4

A relaxed Cs2HfBeS4 crystal (GGA-PBE, the Alexandria database).

POSCAR file:
```
Cs2HfBeS4
1.0
5.677 0.000 0.000
2.839 7.241 0.000
2.839 0.000 12.842
Cs Hf Be S
4 2 2 8
Cartesian
2.839 0.000 8.325
5.677 0.000 4.517
7.097 3.620 10.938
7.097 3.620 1.904
7.097 3.620 6.421
0.000 0.000 0.000
4.258 3.620 6.421
2.839 0.000 0.000
4.413 5.976 1.247
4.413 1.265 11.595
9.781 5.976 11.595
4.103 1.265 1.247
5.523 4.885 5.174
5.523 2.355 7.668
8.671 4.885 7.668
2.993 2.355 5.174
```

Output
Formation energy (no corrections) = -10.93 eV/f.u.
Symmetry = Fddd
DOS at the Fermi energy = 0.0 states/eV/cell



3.
# TmNbB2O8

A relaxed TmNbB2O8 crystal (GGA-PBE, the Alexandria database).

POSCAR file:
```
TmNbB2O8
1.0
5.394 -0.031 0.000
-2.420 4.820 0.000
-1.487 -2.395 4.598
Tm Nb B O
1 1 2 8
Cartesian
-1.210 2.410 2.299
0.000 0.000 0.000
2.697 -0.015 2.299
1.487 2.395 0.000
1.508 -0.311 1.445
0.320 1.996 0.781
0.160 -1.223 3.817
2.959 -1.212 3.153
2.654 2.794 0.781
3.885 0.280 1.445
2.435 1.181 3.153
-0.160 1.223 3.817
```

Output
Formation energy (no corrections) = -28.02 eV/f.u.
Symmetry = I-4m2
DOS at the Fermi energy = 8.7 states/eV/cell



4.
# Y2Ga3Rh

A relaxed Y2Ga3Rh crystal (GGA-PBE, the Alexandria database).

POSCAR file:
```
Y2Ga3Rh
1.0
3.994 0.000 1.673
1.769 5.175 1.381
-0.070 -0.073 5.771
Y Ga Rh
2 3 1
Cartesian
2.509 1.042 5.219
3.197 4.108 3.575
4.412 3.137 6.279
3.714 1.173 2.341
1.952 3.895 6.548
1.295 1.950 2.512
```

Output
E_form = -74 kJ per mole of atoms
Symmetry = Cm
DOS at the Fermi energy = 3.7 states/eV/cell



5.
# Re2NiTe

A relaxed Re2NiTe crystal (GGA-PBE, the Alexandria database).

POSCAR file:
```
Re2NiTe
1.0
4.671 -0.004 -0.002
3.675 2.883 -0.002
0.709 0.244 4.773
Ni Re Te
1 2 1
Cartesian
2.344 0.808 1.080
0.019 0.006 0.013
6.725 2.320 3.797
4.495 1.551 2.264
```

Output
Formation energy (no corrections) = 2.22 eV/f.u.
Symmetry = Cm
DOS at the Fermi energy = 3.0 states/eV/cell



6.
# La2CoAs2

A relaxed La2CoAs2 crystal (GGA-PBE, the Alexandria database).

POSCAR file:
```
La2CoAs2
1.0
-3.659 -5.800 0.518
1.832 -1.728 -6.400
3.771 -2.229 1.681
As Co La
4 2 4
Cartesian
0.260 -3.568 -5.312
-1.969 -6.091 -3.656
-2.087 -3.961 -0.569
0.143 -1.438 -2.225
0.000 0.000 0.000
-0.913 -3.764 -2.941
2.483 -3.292 -3.385
0.931 -6.453 -4.093
-0.538 -6.465 -0.814
1.014 -3.304 -0.107
```

Output
E_form = -73 kJ per mole of atoms
Symmetry = P4/mbm
DOS at the Fermi energy = 5.1 states/eV/cell



7.
# Sm6Hg2SbTe3

A relaxed Sm6Hg2SbTe3 crystal (GGA-PBE, the Alexandria database).

POSCAR file:
```
Sm6Hg2SbTe3
1.0
-2.773 -1.353 3.091
-3.673 -5.810 -5.839
8.869 -3.787 3.214
Sm Hg Sb Te
6 2 1 3
Cartesian
1.712 -8.113 -2.015
-1.188 -5.664 -0.459
0.710 -2.836 2.482
-0.814 -1.508 -1.390
3.236 -9.442 1.856
3.611 -5.286 0.925
1.108 -7.164 0.944
1.314 -3.786 -0.478
-1.387 -0.677 1.546
-3.223 -3.582 -1.374
3.141 -4.516 3.927
-0.718 -6.434 -3.461
```

Output
Formation energy (no corrections) = -12.54 eV/f.u.
Symmetry = C2/m
DOS at the Fermi energy = 6.8 states/eV/cell



8.
# Nd4Dy4Er

A relaxed Nd4Dy4Er crystal (GGA-PBE, the Alexandria database).

POSCAR file:
```
Nd4Dy4Er
1.0
5.468 0.000 1.295
2.022 7.860 3.679
0.897 3.028 8.418
Nd Dy Er
4 4 1
Cartesian
2.101 2.056 3.333
6.286 8.832 10.059
6.226 5.315 10.321
2.162 5.573 3.071
4.565 4.347 5.117
6.968 7.187 7.184
3.823 6.541 8.274
1.420 3.701 6.207
2.734 0.000 0.647
```

Output
E_form = 10 kJ per mole of atoms
Symmetry = C2/m
DOS at the Fermi energy = 15.0 states/eV/cell



9.
# K2AgPO4

A relaxed K2AgPO4 crystal (GGA-PBE, the Alexandria database).

POSCAR file:
```
K2AgPO4
1.0
-1.610 5.069 -1.978
-5.612 0.342 -2.694
-5.024 4.735 8.082
K Ag P O
4 2 2 8
Cartesian
-3.472 3.925 4.745
-3.162 5.878 1.358
-8.078 7.149 4.547
-4.974 5.530 -2.127
-6.526 6.340 1.210
0.000 0.000 0.000
-5.721 3.806 2.199
-0.805 2.534 -0.989
-5.709 2.618 -2.305
-6.020 5.898 6.350
-10.532 8.607 3.595
-2.233 3.168 -0.821
-6.429 4.064 0.821
-5.530 5.177 2.941
-8.241 7.878 1.025
-4.293 3.172 2.031
```

Output
Formation energy (no corrections) = -13.27 eV/f.u.
Symmetry = Fddd
DOS at the Fermi energy = 0.0 states/eV/cell



10.
# CeUPaGa

A relaxed CeUPaGa crystal (GGA-PBE, the Alexandria database).

POSCAR file:
```
CeUPaGa
1.0
5.059 0.000 0.000
2.529 4.381 0.000
2.529 1.460 4.130
Pa U Ga Ce
1 1 1 1
Cartesian
7.588 4.381 3.098
0.000 0.000 0.000
5.059 2.921 2.065
2.529 1.460 1.033
```

Output
E_form = 8 kJ per mole of atoms
Symmetry = F-43m
DOS at the Fermi energy = 10.4 states/eV/cell



11.
# DyTlO3

A relaxed DyTlO3 crystal (GGA-PBE, the Alexandria database).

POSCAR file:
```
DyTlO3
1.0
3.755 0.000 0.000
0.000 4.977 -2.531
0.000 -0.341 9.131
Dy Tl O
2 2 6
Cartesian
2.816 0.318 5.220
0.939 2.009 2.554
0.939 3.433 5.787
2.816 3.871 -0.544
2.816 0.838 3.028
2.816 2.384 6.729
0.939 4.919 -1.486
0.939 1.489 4.746
0.939 4.117 3.699
2.816 3.187 1.543
```

Output
Formation energy (no corrections) = -10.24 eV/f.u.
Symmetry = P2_1/m



12.
# Na2SrZr2

A relaxed Na2SrZr2 crystal (GGA-PBE, the Alexandria database).

POSCAR file:
```
Na2SrZr2
1.0
-5.003 -8.189 1.152
2.113 -2.568 -9.076
2.768 -1.539 1.080
Sr Zr Na
2 4 4
Cartesian
0.000 0.000 0.000
-1.445 -5.379 -3.962
-0.105 -5.609 -7.723
-3.250 -8.923 -4.387
-2.785 -5.148 -0.200
0.360 -1.835 -3.536
1.889 -4.106 -5.510
-0.362 -8.505 -6.008
-2.011 -8.190 -1.333
0.241 -3.792 -0.836
```

Output
E_form = 69 kJ per mole of atoms
Symmetry = P4/mbm
DOS at the Fermi energy = 10.6 states/eV/cell



13.
# Be2TlCdF8

A relaxed Be2TlCdF8 crystal (GGA-PBE, the Alexandria database).

POSCAR file:
```
Be2TlCdF8
1.0
4.916 -0.241 -0.081
2.054 4.473 -0.081
0.203 0.123 7.660
Be Tl Cd F
2 1 1 8
Cartesian
4.450 2.702 1.747
2.723 1.653 5.752
0.102 0.062 3.830
0.000 0.000 0.000
4.175 1.005 5.783
5.167 3.137 0.463
5.082 3.086 3.121
2.091 1.270 4.378
2.006 1.218 7.036
2.818 3.241 5.783
4.355 1.115 1.716
2.998 3.350 1.716
```

Output
Formation energy (no corrections) = -30.91 eV/f.u.
Symmetry = C2/m
DOS at the Fermi energy = 3.8 states/eV/cell



14.
# CsCe2MgBr8

A relaxed CsCe2MgBr8 crystal (GGA-PBE, the Alexandria database).

POSCAR file:
```
CsCe2MgBr8
1.0
7.178 0.164 -0.002
0.251 6.911 0.017
0.010 0.044 9.261
Cs Ce Mg Br
1 2 1 8
Cartesian
0.005 0.022 4.631
3.720 3.564 7.150
3.719 3.556 2.126
0.000 0.000 0.000
1.322 5.297 1.844
5.056 5.320 9.257
6.074 1.768 1.813
6.116 1.822 7.432
2.383 1.800 0.019
1.364 5.352 7.463
4.546 5.120 4.632
2.893 1.999 4.644
```

Output
Formation energy (no corrections) = -19.43 eV/f.u.
Symmetry = P-1
DOS at the Fermi energy = 15.9 states/eV/cell



15.
# Cs2MgPdCl

A relaxed Cs2MgPdCl crystal (GGA-PBE, the Alexandria database).

POSCAR file:
```
Cs2MgPdCl
1.0
-2.801 -5.865 -0.256
1.320 -0.402 -5.246
5.653 -2.771 1.635
Cs Mg Pd Cl
2 1 1 1
Cartesian
2.826 -1.386 0.817
-1.401 -2.932 -0.128
0.660 -0.201 -2.623
2.086 -4.519 -1.934
0.000 0.000 0.000
```

Output
Formation energy (no corrections) = -0.94 eV/f.u.
Symmetry = P4/mmm
DOS at the Fermi energy = 3.0 states/eV/cell



16.
# K4Tb3VSe8

A relaxed K4Tb3VSe8 crystal (GGA-PBE, the Alexandria database).

POSCAR file:
```
K4Tb3VSe8
1.0
-2.975 -6.985 -3.291
8.186 -3.782 0.628
-3.314 3.040 6.947
K Tb V Se
4 3 1 8
Cartesian
-1.487 -3.493 -1.645
-3.144 -1.973 1.828
0.000 0.000 0.000
-1.657 1.520 3.474
2.606 -5.384 -1.331
0.949 -3.864 2.142
2.436 -0.371 3.788
4.093 -1.891 0.314
1.817 -1.225 6.485
3.578 -2.840 2.794
-0.150 -1.339 2.977
0.236 -4.937 4.736
1.661 -2.791 -0.452
2.048 -6.389 1.307
-1.681 -4.888 1.491
0.080 -6.503 -2.201
```

Output
Formation energy (no corrections) = -24.10 eV/f.u.
Symmetry = R-3m
DOS at the Fermi energy = 8.6 states/eV/cell



17.
# Tb4Pr2Dy

A relaxed Tb4Pr2Dy crystal (GGA-PBE, the Alexandria database).

POSCAR file:
```
Tb4Pr2Dy
1.0
5.620 0.000 0.000
0.000 5.620 0.000
-2.810 -2.810 8.496
Tb Pr Dy
4 2 1
Cartesian
0.000 0.000 6.597
2.810 2.810 1.899
0.000 2.810 0.000
2.810 0.000 0.000
0.000 0.000 3.105
2.810 2.810 5.391
0.000 0.000 0.000
```

Output
E_form = 60 kJ per mole of atoms
Symmetry = I4/mmm
DOS at the Fermi energy = 11.8 states/eV/cell



18.
# AcLaGdY

A relaxed AcLaGdY crystal (GGA-PBE, the Alexandria database).

POSCAR file:
```
AcLaGdY
1.0
5.925 0.000 0.000
2.962 5.131 0.000
2.962 1.710 4.838
Y Ac Gd La
1 1 1 1
Cartesian
8.887 5.131 3.628
5.925 3.421 2.419
2.962 1.710 1.209
0.000 0.000 0.000
```

Output
E_form = 9 kJ per mole of atoms
Symmetry = F-43m
DOS at the Fermi energy = 7.5 states/eV/cell



19.
# Cr2AsI

A relaxed Cr2AsI crystal (GGA-PBE, the Alexandria database).

POSCAR file:
```
Cr2AsI
1.0
6.487 0.000 0.000
0.000 6.487 0.000
3.244 3.244 5.263
I Cr As
2 4 2
Cartesian
0.000 0.000 0.000
6.487 3.244 2.632
4.541 1.622 1.316
1.946 4.865 1.316
4.865 5.190 3.948
8.109 7.784 3.948
3.244 3.244 0.000
3.244 6.487 2.632
```

Output
Formation energy (no corrections) = 1.10 eV/f.u.
Symmetry = I-42d
DOS at the Fermi energy = 2.9 states/eV/cell



20.
# Nd6SmDySc2

A relaxed Nd6SmDySc2 crystal (GGA-PBE, the Alexandria database).

POSCAR file:
```
Nd6SmDySc2
1.0
9.173 -1.993 -2.068
0.727 8.548 -1.956
0.727 -2.271 8.470
Nd Sm Dy Sc
12 2 2 4
Cartesian
1.121 -0.917 6.124
4.918 -0.874 6.170
9.504 5.201 -1.679
5.708 5.158 -1.724
3.957 6.824 1.144
2.083 4.390 -1.382
6.669 -2.540 3.302
8.543 -0.106 5.828
1.947 4.623 2.560
4.093 2.894 0.766
8.679 -0.339 1.886
6.533 1.391 3.680
3.020 7.718 -2.153
7.606 -3.434 6.599
3.020 1.643 3.701
7.606 2.641 0.745
5.220 4.352 3.474
0.819 1.971 1.002
5.406 -0.068 0.972
9.806 2.314 3.444
```

Output
E_form = 12 kJ per mole of atoms
Symmetry = C2/c
DOS at the Fermi energy = 31.5 states/eV/cell